SiTe2Mo | SCAN | single point on PBEsol structure

Results
ρ ... 6.83 Mg/m³
Raw total energy ... -29.7292 eV per atom
Raw formation energy ... 0.49 eV/f.u.

Unit cell a=3.4621 b=3.5199 c=15.1219 alpha=90.00 beta=90.00 gamma=90.00
Space group Immm (No. 71)
Symmetry-distinct sites (fractional):
1 Si 0.0000 0.0000 0.0000
2 Te 0.0000 0.5000 0.1500
3 Mo 0.0000 0.0000 0.5000